{
  "formula": "HoHf2Pt9",
  "functional": "GGA-PBE",
  "state": "relaxed",
  "lattice_angstrom": [[4.059, 0.000, 0.000], [0.000, 4.059, 0.000], [0.000, 0.000, 12.171]],
  "species": ["Ho", "Hf", "Hf", "Pt", "Pt", "Pt", "Pt", "Pt", "Pt", "Pt", "Pt", "Pt"],
  "fractional_positions": [[0.000, 0.000, 0.000], [0.000, 0.000, 0.334], [0.000, 0.000, 0.666], [0.000, 0.500, 0.174], [0.000, 0.500, 0.500], [0.000, 0.500, 0.826], [0.500, 0.000, 0.174], [0.500, 0.000, 0.500], [0.500, 0.000, 0.826], [0.500, 0.500, 0.000], [0.500, 0.500, 0.337], [0.500, 0.500, 0.663]],
  "m_tot_mub_per_cell": 0.0,
  "dft_energy_ev_per_cell": -92.2,
  "mass_density_g_cm3": 18.865,
  "crystal_system": "tetragonal"
}

***

{
  "formula": "RbLiGeBr4",
  "functional": "GGA-PBE",
  "state": "relaxed",
  "lattice_angstrom": [[5.917, 0.000, 0.000], [0.000, 7.708, 0.000], [-2.371, 0.000, 10.379]],
  "species": ["Rb", "Rb", "Li", "Li", "Ge", "Ge", "Br", "Br", "Br", "Br", "Br", "Br", "Br", "Br"],
  "fractional_positions": [[0.219, 0.250, 0.407], [0.781, 0.750, 0.593], [0.065, 0.250, 0.799], [0.935, 0.750, 0.201], [0.376, 0.750, 0.951], [0.624, 0.250, 0.049], [0.056, 0.250, 0.041], [0.209, 0.750, 0.411], [0.349, 0.509, 0.784], [0.349, 0.991, 0.784], [0.651, 0.009, 0.216], [0.651, 0.491, 0.216], [0.791, 0.250, 0.589], [0.944, 0.750, 0.959]],
  "m_tot_mub_per_cell": 0.0,
  "mass_density_g_cm3": 3.400,
  "crystal_system": "monoclinic",
  "formation_energy_uncorrected_mev_per_atom": -1163
}